DFT (PBE) results for an optimized crystal structure of Ba6Ta9Ti7O42.

Cell lengths 9.1597, 9.1597, 11.9503 Å; angles 90.01, 90.01, 119.91 degrees
Last column: nearest neighbours and their distance in Å.
Sites, in units of the cell vectors:
Ba 0.0000 0.0000 0.0000  8 O 2.76-3.09
Ba 0.3963 0.9985 0.4944  7 O 2.78-3.07
Ba 0.4027 0.8096 0.0000  6 O 2.76-2.93
Ba 0.8096 0.4027 0.0000  6 O 2.76-2.93
Ba 0.8161 0.8161 0.4937  6 O 2.82-2.86
Ba 0.9985 0.3963 0.4944  7 O 2.78-3.07
Ta 0.0696 0.7386 0.2397  6 O 1.98-2.04
Ta 0.0714 0.7378 0.7363  6 O 1.96-2.04
Ta 0.1595 0.4032 0.8381  6 O 1.91-2.09
Ta 0.4019 0.6463 0.3358  6 O 1.93-2.09
Ta 0.4032 0.1595 0.8381  6 O 1.91-2.09
Ta 0.6463 0.4019 0.3358  6 O 1.93-2.09
Ta 0.6506 0.6506 0.8362  6 O 1.92-2.09
Ta 0.7378 0.0714 0.7363  6 O 1.96-2.04
Ta 0.7386 0.0696 0.2397  6 O 1.98-2.04
Ti 0.1546 0.1546 0.3335  6 O 1.91-2.12
Ti 0.1584 0.3995 0.1533  6 O 1.92-2.12
Ti 0.1647 0.1647 0.6424  3 O 1.81-1.96
Ti 0.3995 0.1584 0.1533  6 O 1.92-2.12
Ti 0.4049 0.6481 0.6480  6 O 1.86-2.08
Ti 0.6474 0.6474 0.1493  6 O 1.88-2.08
Ti 0.6481 0.4049 0.6480  6 O 1.86-2.08
O 0.0899 0.5733 0.8420  2 Ta 1.96-2.04
O 0.0909 0.9224 0.3414  1 Ti 1.91, 1 Ta 2.01
O 0.0925 0.5718 0.1466  1 Ti 1.95, 1 Ta 1.98
O 0.0932 0.9240 0.6432  1 Ta 1.96, 1 Ti 1.96
O 0.1916 0.1916 0.4921  2 Ti 1.81-1.93
O 0.1963 0.4050 0.9953  1 Ta 1.91, 1 Ti 1.92
O 0.2027 0.4058 0.3192  2 Ti 2.02-2.12, 1 Ta 2.05
O 0.2037 0.2037 0.1699  3 Ti 2.01-2.04
O 0.2037 0.2037 0.8215  2 Ta 2.07, 1 Ti 2.17
O 0.2052 0.4037 0.6690  2 Ti 2.05-2.08, 1 Ta 2.06
O 0.2349 0.9230 0.1422  1 Ti 1.92, 1 Ta 1.99
O 0.2358 0.9205 0.8424  2 Ta 1.95-2.04
O 0.2365 0.7157 0.6432  1 Ti 1.93, 1 Ta 1.97
O 0.2367 0.7210 0.3440  2 Ta 1.95-2.04
O 0.4037 0.2052 0.6690  2 Ti 2.05-2.08, 1 Ta 2.06
O 0.4041 0.6097 0.4948  1 Ti 1.86, 1 Ta 1.93
O 0.4050 0.1963 0.9953  1 Ta 1.91, 1 Ti 1.92
O 0.4046 0.6064 0.8193  1 Ti 2.08, 2 Ta 2.09
O 0.4058 0.2027 0.3192  2 Ti 2.02-2.12, 1 Ta 2.05
O 0.4059 0.6059 0.1691  1 Ta 2.03, 2 Ti 2.06-2.12
O 0.5718 0.0925 0.1466  1 Ti 1.95, 1 Ta 1.98
O 0.5719 0.8844 0.6434  1 Ti 1.93, 1 Ta 1.97
O 0.5733 0.0899 0.8420  2 Ta 1.96-2.04
O 0.5730 0.8872 0.3431  2 Ta 1.97-2.02
O 0.6064 0.4046 0.8193  1 Ti 2.08, 2 Ta 2.09
O 0.6059 0.4059 0.1691  1 Ta 2.03, 2 Ti 2.06-2.12
O 0.6073 0.6073 0.3203  1 Ti 2.08, 2 Ta 2.09
O 0.6069 0.6069 0.6691  1 Ta 2.04, 2 Ti 2.08
O 0.6097 0.4041 0.4948  1 Ti 1.86, 1 Ta 1.93
O 0.6119 0.6119 0.9941  1 Ti 1.88, 1 Ta 1.92
O 0.7157 0.2365 0.6432  1 Ti 1.93, 1 Ta 1.97
O 0.7159 0.8839 0.1435  1 Ti 1.93, 1 Ta 1.98
O 0.7196 0.8886 0.8424  2 Ta 1.95-2.04
O 0.7210 0.2367 0.3440  2 Ta 1.95-2.04
O 0.8844 0.5719 0.6434  1 Ti 1.93, 1 Ta 1.97
O 0.8839 0.7159 0.1435  1 Ti 1.93, 1 Ta 1.98
O 0.8872 0.5730 0.3431  2 Ta 1.97-2.02
O 0.8886 0.7196 0.8424  2 Ta 1.95-2.04
O 0.9205 0.2358 0.8424  2 Ta 1.95-2.04
O 0.9224 0.0909 0.3414  1 Ti 1.91, 1 Ta 2.01
O 0.9230 0.2349 0.1422  1 Ti 1.92, 1 Ta 1.99
O 0.9240 0.0932 0.6432  1 Ta 1.96, 1 Ti 1.96

symmetry = Cm, No. 8
formation energy (no corrections) = -3.025 eV/atom
DOS(E_F) = 0.0698 states/eV/atom
M_tot = 0.00 μB/atom